A plane-wave DFT calculation with PBE was carried out for an optimized crystal structure of Y5Al2Te.

Cell lengths 7.9702, 7.9702, 13.6535 Å; angles 90.00, 90.00, 90.00 degrees
Space group I4/mcm (No. 140)
Inequivalent atoms, fractional coordinates:
1 Y 0.0000 0.0000 0.0000 x4
2 Y 0.1610 0.3390 0.1466 x16
3 Al 0.1294 0.3706 0.5000 x8
4 Te 0.0000 0.0000 0.2500 x4

## Properties
- electronic total energy (eV/atom) = -5.92
- magnetic moment (μB per formula unit) = 2.24

=====

A plane-wave DFT calculation with PBE was carried out for an optimized crystal structure of RbCdCo2Ru.

Cell lengths 4.7329, 4.7329, 6.0464 Å; angles 90.00, 90.00, 90.00 degrees
Space group P4/mmm (No. 123)
Inequivalent atoms, fractional coordinates:
1 Rb 0.0000 0.0000 0.0000 x1
2 Cd 0.5000 0.5000 0.0000 x1
3 Co 0.0000 0.5000 0.5000 x2
4 Ru 0.0000 0.0000 0.5000 x1

## Properties
- energy of formation from the pure elements (eV/atom) = 1.378
- electronic total energy (eV/atom) = -3.70
- magnetic moment (μB per formula unit) = 5.87

=====

A plane-wave DFT calculation with PBE was carried out for an optimized crystal structure of SrAl2Pd5.

Cell lengths 3.9803, 7.0646, 10.3772 Å; angles 90.00, 90.00, 90.00 degrees
Space group Immm (No. 71)
Inequivalent atoms, fractional coordinates:
1 Sr 0.0000 0.0000 0.0000 x2
2 Al 0.0000 0.5000 0.2330 x4
3 Pd 0.0000 0.1975 0.3521 x8
4 Pd 0.0000 0.5000 0.0000 x2

## Properties
- energy of formation from the pure elements (eV/atom) = -0.727
- electronic total energy (eV/atom) = -5.12
- magnetic moment (μB per formula unit) = 0.00

=====

A plane-wave DFT calculation with PBE was carried out for an optimized crystal structure of RbYCd2.

Cell lengths 3.9064, 3.9064, 8.7330 Å; angles 90.00, 90.00, 90.00 degrees
Space group P4/mmm (No. 123)
Inequivalent atoms, fractional coordinates:
1 Rb 0.0000 0.0000 0.0000 x1
2 Y 0.0000 0.0000 0.5000 x1
3 Cd 0.5000 0.5000 0.3110 x2

## Properties
- energy of formation from the pure elements (eV/atom) = -0.086
- polymorph energy (0 for the lowest one) (eV per atom) = 0.000
- electronic total energy (eV/atom) = -2.40
- magnetic moment (μB per formula unit) = 0.00

=====

A plane-wave DFT calculation with PBE was carried out for an optimized crystal structure of Sr2Be2Zn.

Cell lengths 8.8244, 8.8244, 3.6721 Å; angles 90.00, 90.00, 90.00 degrees
Space group P4/mbm (No. 127)
Inequivalent atoms, fractional coordinates:
1 Sr 0.1907 0.3093 0.0000 x4
2 Be 0.0828 0.5828 0.5000 x4
3 Zn 0.0000 0.0000 0.0000 x2

## Properties
- energy of formation from the pure elements (eV/atom) = 0.562
- polymorph energy (0 for the lowest one) (eV per atom) = 0.104
- electronic total energy (eV/atom) = -1.86
- magnetic moment (μB per formula unit) = 0.00

=====

A plane-wave DFT calculation with PBE was carried out for an optimized crystal structure of NpTl2F5.

Cell lengths 11.6088, 7.8078, 7.0191 Å; angles 90.00, 90.00, 90.00 degrees
Space group Pnma (No. 62)
Inequivalent atoms, fractional coordinates:
1 Np 0.9997 0.2500 0.0511 x4
2 Tl 0.1670 0.0027 0.5251 x8
3 F 0.0171 0.2500 0.3862 x4
4 F 0.0708 0.5302 0.1487 x8
5 F 0.1630 0.2500 0.8710 x4
6 F 0.1894 0.7500 0.8552 x4

## Properties
- electronic total energy (eV/atom) = -5.98
- magnetic moment (μB per formula unit) = 3.95

=====

A plane-wave DFT calculation with PBE was carried out for an optimized crystal structure of NaSeO2.

Cell lengths 6.2367, 6.2367, 6.9272 Å; angles 90.00, 90.00, 120.00 degrees
Space group P3_121 (No. 152)
Inequivalent atoms, fractional coordinates:
1 Na 0.0000 0.5770 0.1667 x3
2 Se 0.0000 0.5854 0.6667 x3
3 O 0.0686 0.4570 0.4738 x6

## Properties
- electronic total energy (eV/atom) = -4.74
- magnetic moment (μB per formula unit) = 0.00

=====

A plane-wave DFT calculation with PBE was carried out for an optimized crystal structure of Tc2AsBr.

Cell lengths 3.0794, 5.3731, 8.2693 Å; angles 90.00, 90.00, 90.00 degrees
Space group Cmmm (No. 65)
Inequivalent atoms, fractional coordinates:
1 Tc 0.0000 0.0000 0.2277 x4
2 As 0.0000 0.5000 0.0000 x2
3 Br 0.0000 0.5000 0.5000 x2

## Properties
- polymorph energy (0 for the lowest one) (eV per atom) = 0.538
- electronic total energy (eV/atom) = -6.11
- magnetic moment (μB per formula unit) = 0.00